No. 1
Here is a geometry-optimized AcPrEuPb structure from Alexandria. Energies are from PBE-GGA.

Cell lengths 5.816, 5.816, 5.816 Å; angles 60.00, 60.00, 60.00 degrees
Site moments in Bohr magnetons follow the coordinates.
Element x y z (fractional)
Eu 0.000 0.000 0.000  6.95
Ac 0.750 0.750 0.750  0.23
Pb 0.250 0.250 0.250  -0.02
Pr 0.500 0.500 0.500  0.24

Summary:
Formation energy from the elements, meV/atom: -107
Magnetic moment, μB per cell: 8.394
Calculated total energy, eV per atom: -5.8252
Density of states at the Fermi level, states/eV/f.u.: 5.8

***

No. 2
Here is a geometry-optimized PuUPtAu structure from Alexandria. Energies are from PBE-GGA.

Cell lengths 5.022, 5.022, 5.022 Å; angles 60.00, 60.00, 60.00 degrees
Site moments in Bohr magnetons follow the coordinates.
Element x y z (fractional)
Au 0.250 0.250 0.250  0.02
Pt 0.750 0.750 0.750  -0.10
U 0.500 0.500 0.500  2.49
Pu 0.000 0.000 0.000  5.32

Summary:
Formation energy from the elements, meV/atom: -367
Relative energy among the computed polymorphs, meV/atom: 162
Magnetic moment, μB per cell: 8.310
Calculated total energy, eV per atom: -9.1019
Density of states at the Fermi level, states/eV/f.u.: 13.3

***

No. 3
Here is a geometry-optimized Cs3BaAc2Se6 structure from Alexandria. Energies are from PBE-GGA.

Cell lengths 8.174, 8.174, 8.835 Å; angles 98.89, 98.89, 119.98 degrees
Element x y z (fractional)
Se 0.417 0.067 0.200
Se 0.067 0.417 0.200
Se 0.284 0.284 0.802
Se 0.716 0.716 0.198
Se 0.933 0.583 0.800
Se 0.583 0.933 0.800
Cs 0.837 0.163 0.500
Cs 0.500 0.500 0.500
Cs 0.163 0.837 0.500
Ac 0.667 0.333 0.000
Ac 0.333 0.667 0.000
Ba 0.000 0.000 0.000

Summary:
Magnetic moment, μB per cell: 0.002
Calculated total energy, eV per atom: -4.4351
Density of states at the Fermi level, states/eV/f.u.: 22.4